# 1
The following is a DFT calculation (PBE) of a relaxed Hf2Ni2N crystal.

Summary:
energy: -7.67 eV/atom
space-group type: I4/mmm, No. 139
DOS(E_F): 4.0 states/eV/cell

a = 4.6330 Å, b = 4.6330 Å, c = 4.6330 Å
α = 114.20°, β = 114.20°, γ = 100.37°
Positions (direct):
Hf (0.2500, 0.7500, 0.5000)
Hf (0.7500, 0.2500, 0.5000)
Ni (0.1893, 0.1893, 0.0000)
Ni (0.8107, 0.8107, 0.0000)
N (0.5000, 0.5000, 0.0000)


# 2
The following is a DFT calculation (PBE) of a relaxed Hf6NiN4 crystal.

Summary:
energy: -10.41 eV/atom
space-group type: Cmcm, No. 63
DOS(E_F): 9.1 states/eV/cell

a = 5.6579 Å, b = 5.6579 Å, c = 16.8441 Å
α = 90.00°, β = 90.00°, γ = 146.58°
Positions (direct):
Hf (0.0000, 0.0000, 0.0000)
Hf (0.0000, 0.0000, 0.5000)
Hf (0.1604, 0.8396, 0.7500)
Hf (0.2742, 0.7258, 0.0806)
Hf (0.2742, 0.7258, 0.4194)
Hf (0.4602, 0.5398, 0.6547)
Hf (0.4602, 0.5398, 0.8453)
Hf (0.5398, 0.4602, 0.1547)
Hf (0.5398, 0.4602, 0.3453)
Hf (0.7258, 0.2742, 0.5806)
Hf (0.7258, 0.2742, 0.9194)
Hf (0.8396, 0.1604, 0.2500)
Ni (0.1581, 0.8419, 0.2500)
Ni (0.8419, 0.1581, 0.7500)
N (0.0942, 0.9058, 0.6208)
N (0.0942, 0.9058, 0.8792)
N (0.3629, 0.6371, 0.5392)
N (0.3629, 0.6371, 0.9608)
N (0.6371, 0.3629, 0.0392)
N (0.6371, 0.3629, 0.4608)
N (0.9058, 0.0942, 0.1208)
N (0.9058, 0.0942, 0.3792)


# 3
The following is a DFT calculation (PBE) of a relaxed Hf6Ni3N crystal.

Summary:
energy: -9.10 eV/atom
space-group type: P2_1/c, No. 14
DOS(E_F): 17.1 states/eV/cell

a = 5.6944 Å, b = 6.7891 Å, c = 10.1882 Å
α = 90.00°, β = 120.29°, γ = 90.00°
Positions (direct):
Hf (0.0766, 0.0459, 0.2383)
Hf (0.0766, 0.4541, 0.7383)
Hf (0.2063, 0.7046, 0.0677)
Hf (0.2063, 0.7954, 0.5677)
Hf (0.3870, 0.1552, 0.0587)
Hf (0.3870, 0.3448, 0.5587)
Hf (0.6130, 0.6552, 0.4413)
Hf (0.6130, 0.8448, 0.9413)
Hf (0.7937, 0.2046, 0.4323)
Hf (0.7937, 0.2954, 0.9323)
Hf (0.9234, 0.5459, 0.2617)
Hf (0.9234, 0.9541, 0.7617)
Ni (0.3188, 0.1122, 0.7372)
Ni (0.3188, 0.3878, 0.2372)
Ni (0.5000, 0.0000, 0.5000)
Ni (0.5000, 0.5000, 0.0000)
Ni (0.6812, 0.6122, 0.7628)
Ni (0.6812, 0.8878, 0.2628)
N (0.0000, 0.0000, 0.0000)
N (0.0000, 0.5000, 0.5000)


# 4
The following is a DFT calculation (PBE) of a relaxed Hf2NiN crystal.

Summary:
energy: -9.16 eV/atom
space-group type: I-42d, No. 122
DOS(E_F): 9.5 states/eV/cell

a = 5.5725 Å, b = 5.5725 Å, c = 5.5725 Å
α = 114.80°, β = 114.80°, γ = 99.26°
Positions (direct):
Hf (0.0705, 0.6250, 0.9455)
Hf (0.3750, 0.3205, 0.4455)
Hf (0.6795, 0.1250, 0.0545)
Hf (0.8750, 0.9295, 0.5545)
Ni (0.2500, 0.7500, 0.5000)
Ni (0.5000, 0.5000, 0.0000)
N (0.0000, 0.0000, 0.0000)
N (0.7500, 0.2500, 0.5000)


# 5
The following is a DFT calculation (PBE) of a relaxed Hf12Ni5N2 crystal.

Summary:
energy: -9.12 eV/atom
space-group type: C2/m, No. 12
DOS(E_F): 16.9 states/eV/cell

a = 7.9774 Å, b = 7.9774 Å, c = 7.5822 Å
α = 103.69°, β = 103.69°, γ = 48.16°
Positions (direct):
Hf (0.0048, 0.0048, 0.2972)
Hf (0.0878, 0.5850, 0.3939)
Hf (0.1128, 0.6099, 0.9452)
Hf (0.3901, 0.8872, 0.0548)
Hf (0.4150, 0.9122, 0.6061)
Hf (0.4849, 0.4849, 0.6774)
Hf (0.5151, 0.5151, 0.3226)
Hf (0.5850, 0.0878, 0.3939)
Hf (0.6099, 0.1128, 0.9452)
Hf (0.8872, 0.3901, 0.0548)
Hf (0.9122, 0.4150, 0.6061)
Hf (0.9952, 0.9952, 0.7028)
Ni (0.1890, 0.1890, 0.3353)
Ni (0.2127, 0.2127, 0.8732)
Ni (0.5000, 0.5000, 0.0000)
Ni (0.7873, 0.7873, 0.1268)
Ni (0.8110, 0.8110, 0.6647)
N (0.2368, 0.7632, 0.5000)
N (0.7632, 0.2368, 0.5000)


# 6
The following is a DFT calculation (PBE) of a relaxed Hf4NiN2 crystal.

Summary:
energy: -9.86 eV/atom
space-group type: I4_1/amd, No. 141
DOS(E_F): 8.9 states/eV/cell

a = 6.5155 Å, b = 6.5155 Å, c = 6.5155 Å
α = 109.41°, β = 109.41°, γ = 109.59°
Positions (direct):
Hf (0.2167, 0.2753, 0.5586)
Hf (0.2167, 0.6581, 0.9414)
Hf (0.2753, 0.2167, 0.0586)
Hf (0.3419, 0.7833, 0.5586)
Hf (0.6581, 0.2167, 0.4414)
Hf (0.7247, 0.7833, 0.9414)
Hf (0.7833, 0.3419, 0.0586)
Hf (0.7833, 0.7247, 0.4414)
Ni (0.1250, 0.8750, 0.2500)
Ni (0.8750, 0.1250, 0.7500)
N (0.0000, 0.5000, 0.5000)
N (0.5000, 0.0000, 0.0000)
N (0.5000, 0.5000, 0.0000)
N (0.5000, 0.5000, 0.5000)


# 7
The following is a DFT calculation (PBE) of a relaxed HfNi2N crystal.

Summary:
energy: -7.34 eV/atom
space-group type: I-42d, No. 122
DOS(E_F): 5.6 states/eV/cell

a = 5.4237 Å, b = 5.4237 Å, c = 5.4237 Å
α = 119.82°, β = 119.82°, γ = 90.32°
Positions (direct):
Hf (0.0000, 0.0000, 0.0000)
Hf (0.7500, 0.2500, 0.5000)
Ni (0.2543, 0.6250, 0.1293)
Ni (0.3750, 0.5043, 0.6293)
Ni (0.4957, 0.1250, 0.8707)
Ni (0.8750, 0.7457, 0.3707)
N (0.2500, 0.7500, 0.5000)
N (0.5000, 0.5000, 0.0000)


# 8
The following is a DFT calculation (PBE) of a relaxed Hf2NiN crystal.

Summary:
energy: -8.43 eV/atom
space-group type: Fm-3m, No. 225
DOS(E_F): 5.2 states/eV/cell

a = 4.3224 Å, b = 4.3224 Å, c = 4.3224 Å
α = 60.00°, β = 60.00°, γ = 60.00°
Positions (direct):
Hf (0.2500, 0.2500, 0.2500)
Hf (0.7500, 0.7500, 0.7500)
Ni (0.0000, 0.0000, 0.0000)
N (0.5000, 0.5000, 0.5000)


Number 1: raw formation energy 285 meV per atom. Number 2: raw formation energy -1427 meV per atom. Number 3: raw formation energy -561 meV per atom. Number 4: raw formation energy -661 meV per atom. Number 5: raw formation energy -433 meV per atom. Number 6: raw formation energy -972 meV per atom. Number 7: raw formation energy 119 meV per atom. Number 8: raw formation energy 72 meV per atom.